(1)
Material: Nd7Ag2Hg2
Method: DFT, PBE
State: optimized geometry

Cell and atoms, written as POSCAR:
```
Nd7Ag2Hg2
1.0
3.970 -5.645 0.000
3.970 5.645 0.000
0.000 0.000 7.898
Nd Ag Hg
7 2 2
Cartesian
0.000 0.000 0.000 Nd
1.985 2.822 2.222 Nd
1.985 2.822 5.676 Nd
1.985 -2.822 2.222 Nd
1.985 -2.822 5.676 Nd
3.970 0.000 2.052 Nd
3.970 0.000 5.846 Nd
3.970 2.386 0.000 Ag
3.970 -2.386 0.000 Ag
1.418 0.000 3.949 Hg
6.521 0.000 3.949 Hg
```

Results
- calculated density (g cm⁻³) = 7.6
- energy relative to the elements (meV per atom) = -18

(2)
Material: Nd3Ag2Hg3
Method: DFT, PBE
State: optimized geometry

Cell and atoms, written as POSCAR:
```
Nd3Ag2Hg3
1.0
7.811 0.000 0.000
-3.906 6.765 0.000
0.000 0.000 4.004
Nd Ag Hg
3 2 3
Cartesian
-1.538 2.663 0.000 Nd
3.076 0.000 0.000 Nd
2.368 4.101 0.000 Nd
0.000 4.510 2.002 Ag
3.906 2.255 2.002 Ag
-2.963 5.132 2.002 Hg
0.943 1.633 2.002 Hg
5.926 0.000 2.002 Hg
```

Results
- calculated density (g cm⁻³) = 9.8
- energy above the most stable polymorph in this dataset (eV/f.u.) = 0.00
- energy relative to the elements (meV per atom) = -341

(3)
Material: Nd4AgHg3
Method: DFT, PBE
State: optimized geometry

Cell and atoms, written as POSCAR:
```
Nd4AgHg3
1.0
3.797 0.000 0.000
0.000 4.954 0.000
0.000 0.000 12.052
Nd Ag Hg
4 1 3
Cartesian
0.000 0.000 0.000 Nd
0.000 2.477 3.524 Nd
1.899 0.000 5.956 Nd
1.899 2.477 9.601 Nd
1.899 0.000 2.692 Ag
0.000 0.000 8.756 Hg
0.000 2.477 6.807 Hg
1.899 2.477 0.851 Hg
```

Results
- calculated density (g cm⁻³) = 9.4
- energy above the most stable polymorph in this dataset (eV/f.u.) = 0.31
- energy relative to the elements (meV per atom) = -381

(4)
Material: Nd2AgHgO5
Method: DFT, PBE
State: optimized geometry

Cell and atoms, written as POSCAR:
```
Nd2AgHgO5
1.0
6.950 0.000 0.000
0.000 6.950 0.000
0.000 0.000 5.851
Nd Ag Hg O
4 2 2 10
Cartesian
1.221 2.254 0.000 Nd
2.254 5.729 0.000 Nd
4.696 1.221 0.000 Nd
5.729 4.696 0.000 Nd
0.000 3.475 2.925 Ag
3.475 0.000 2.925 Ag
0.000 0.000 2.925 Hg
3.475 3.475 2.925 Hg
0.000 0.000 0.000 O
0.914 4.389 1.378 O
0.914 4.389 4.472 O
2.561 0.914 1.378 O
2.561 0.914 4.472 O
3.475 3.475 0.000 O
4.389 6.036 1.378 O
4.389 6.036 4.472 O
6.036 2.561 1.378 O
6.036 2.561 4.472 O
```

Results
- calculated density (g cm⁻³) = 8.0
- ΔE_f (raw) (meV per atom) = -1752

(5)
Material: Pm2NdAg2Hg2
Method: DFT, PBE
State: optimized geometry

Cell and atoms, written as POSCAR:
```
Pm2NdAg2Hg2
1.0
2.460 1.420 8.937
-2.460 1.420 8.937
0.000 -2.841 8.937
Pm Nd Ag Hg
2 1 2 2
Cartesian
0.000 0.000 3.330 Pm
0.000 0.000 23.480 Pm
0.000 0.000 0.000 Nd
0.000 0.000 10.707 Ag
0.000 0.000 16.102 Ag
0.000 0.000 6.976 Hg
0.000 0.000 19.833 Hg
```

Results
- calculated density (g cm⁻³) = 9.3
- energy relative to the elements (meV per atom) = -255

(6)
Material: PrNd2Ag2Hg2
Method: DFT, PBE
State: optimized geometry

Cell and atoms, written as POSCAR:
```
PrNd2Ag2Hg2
1.0
2.467 1.424 9.045
-2.467 1.424 9.045
0.000 -2.848 9.045
Pr Nd Ag Hg
1 2 2 2
Cartesian
0.000 0.000 0.000 Pr
0.000 0.000 3.372 Nd
0.000 0.000 23.763 Nd
0.000 0.000 10.844 Ag
0.000 0.000 16.292 Ag
0.000 0.000 7.069 Hg
0.000 0.000 20.066 Hg
```

Results
- calculated density (g cm⁻³) = 9.1
- energy relative to the elements (meV per atom) = -260

(7)
Material: NdAgHgPt
Method: DFT, PBE
State: optimized geometry

Cell and atoms, written as POSCAR:
```
NdAgHgPt
1.0
0.000 3.521 3.521
3.521 0.000 3.521
3.521 3.521 0.000
Nd Ag Hg Pt
1 1 1 1
Cartesian
0.000 0.000 0.000 Nd
5.282 5.282 5.282 Ag
3.521 3.521 3.521 Hg
1.761 1.761 1.761 Pt
```

Results
- calculated density (g cm⁻³) = 12.3
- energy relative to the elements (meV per atom) = -466

(8)
Material: NdPuAgHg
Method: DFT, PBE
State: optimized geometry

Cell and atoms, written as POSCAR:
```
NdPuAgHg
1.0
0.000 3.767 3.767
3.767 0.000 3.767
3.767 3.767 0.000
Nd Pu Ag Hg
1 1 1 1
Cartesian
0.000 0.000 0.000 Nd
3.767 3.767 3.767 Pu
5.651 5.651 5.651 Ag
1.884 1.884 1.884 Hg
```

Results
- calculated density (g cm⁻³) = 10.8
- energy relative to the elements (meV per atom) = -145

(9)
Material: Nd2AgHgRh
Method: DFT, PBE
State: optimized geometry

Cell and atoms, written as POSCAR:
```
Nd2AgHgRh
1.0
8.183 0.000 0.000
0.000 4.080 0.000
-3.279 0.000 7.580
Nd Ag Hg Rh
4 2 2 2
Cartesian
-0.673 1.020 1.558 Nd
5.577 3.060 6.022 Nd
0.829 3.060 4.775 Nd
4.075 1.020 2.805 Nd
-0.195 1.020 7.201 Ag
5.099 3.060 0.379 Ag
1.879 3.060 1.527 Hg
3.024 1.020 6.054 Hg
-1.185 1.020 4.550 Rh
6.089 3.060 3.031 Rh
```

Results
- calculated density (g cm⁻³) = 9.2
- energy relative to the elements (meV per atom) = -469

(10)
Material: Nd4Ag2HgRh
Method: DFT, PBE
State: optimized geometry

Cell and atoms, written as POSCAR:
```
Nd4Ag2HgRh
1.0
2.644 1.526 8.487
-2.644 1.526 8.487
0.000 -3.053 8.487
Nd Ag Hg Rh
4 2 1 1
Cartesian
0.000 0.000 2.953 Nd
0.000 0.000 9.378 Nd
0.000 0.000 16.083 Nd
0.000 0.000 22.508 Nd
0.000 0.000 6.161 Ag
0.000 0.000 19.300 Ag
0.000 0.000 12.730 Hg
0.000 0.000 0.000 Rh
```

Results
- calculated density (g cm⁻³) = 8.9
- energy relative to the elements (meV per atom) = -426

(11)
Material: NdSc2AgHg4
Method: DFT, PBE
State: optimized geometry

Cell and atoms, written as POSCAR:
```
NdSc2AgHg4
1.0
2.455 1.417 8.951
-2.455 1.417 8.951
0.000 -2.835 8.951
Nd Sc Ag Hg
1 2 1 4
Cartesian
0.000 0.000 0.000 Nd
0.000 0.000 6.377 Sc
0.000 0.000 20.475 Sc
0.000 0.000 13.426 Ag
0.000 0.000 3.365 Hg
0.000 0.000 10.387 Hg
0.000 0.000 16.465 Hg
0.000 0.000 23.487 Hg
```

Results
- calculated density (g cm⁻³) = 10.2
- energy relative to the elements (meV per atom) = -315

(12)
Material: NdSmAgHg
Method: DFT, PBE
State: optimized geometry

Cell and atoms, written as POSCAR:
```
NdSmAgHg
1.0
3.766 0.000 0.000
0.000 3.766 0.000
0.000 0.000 7.585
Nd Sm Ag Hg
1 1 1 1
Cartesian
0.000 0.000 0.000 Nd
0.000 0.000 3.711 Sm
1.883 1.883 1.917 Ag
1.883 1.883 5.607 Hg
```

Results
- calculated density (g cm⁻³) = 9.3
- energy above the most stable polymorph in this dataset (eV/f.u.) = 0.01
- energy relative to the elements (meV per atom) = -370

(13)
Material: Nd2SmAgHg4
Method: DFT, PBE
State: optimized geometry

Cell and atoms, written as POSCAR:
```
Nd2SmAgHg4
1.0
2.593 1.497 9.005
-2.593 1.497 9.005
0.000 -2.994 9.005
Nd Sm Ag Hg
2 1 1 4
Cartesian
0.000 0.000 6.502 Nd
0.000 0.000 20.515 Nd
0.000 0.000 0.000 Sm
0.000 0.000 13.508 Ag
0.000 0.000 3.369 Hg
0.000 0.000 10.041 Hg
0.000 0.000 16.975 Hg
0.000 0.000 23.647 Hg
```

Results
- calculated density (g cm⁻³) = 10.7
- energy relative to the elements (meV per atom) = -393

(14)
Material: NdSmAgHg
Method: DFT, PBE
State: optimized geometry

Cell and atoms, written as POSCAR:
```
NdSmAgHg
1.0
0.000 3.775 3.775
3.775 0.000 3.775
3.775 3.775 0.000
Nd Sm Ag Hg
1 1 1 1
Cartesian
0.000 0.000 0.000 Nd
3.775 3.775 3.775 Sm
1.887 1.887 1.887 Ag
5.662 5.662 5.662 Hg
```

Results
- calculated density (g cm⁻³) = 9.3
- energy above the most stable polymorph in this dataset (eV/f.u.) = 0.00
- energy relative to the elements (meV per atom) = -372

(15)
Material: Tb2NdAg2Hg2
Method: DFT, PBE
State: optimized geometry

Cell and atoms, written as POSCAR:
```
Tb2NdAg2Hg2
1.0
2.446 1.412 8.799
-2.446 1.412 8.799
0.000 -2.824 8.799
Tb Nd Ag Hg
2 1 2 2
Cartesian
0.000 0.000 3.306 Tb
0.000 0.000 23.092 Tb
0.000 0.000 0.000 Nd
0.000 0.000 10.643 Ag
0.000 0.000 15.755 Ag
0.000 0.000 6.755 Hg
0.000 0.000 19.643 Hg
```

Results
- calculated density (g cm⁻³) = 9.8
- energy relative to the elements (meV per atom) = -243

(16)
Material: TbNdAgHg
Method: DFT, PBE
State: optimized geometry

Cell and atoms, written as POSCAR:
```
TbNdAgHg
1.0
3.728 0.000 0.000
0.000 3.728 0.000
0.000 0.000 7.563
Tb Nd Ag Hg
1 1 1 1
Cartesian
0.000 0.000 0.000 Tb
0.000 0.000 3.864 Nd
1.864 1.864 5.849 Ag
1.864 1.864 1.839 Hg
```

Results
- calculated density (g cm⁻³) = 9.7
- energy above the most stable polymorph in this dataset (eV/f.u.) = 0.00
- energy relative to the elements (meV per atom) = -381

(17)
Material: TbNd2Ag2Hg2
Method: DFT, PBE
State: optimized geometry

Cell and atoms, written as POSCAR:
```
TbNd2Ag2Hg2
1.0
2.449 1.414 8.895
-2.449 1.414 8.895
0.000 -2.828 8.895
Tb Nd Ag Hg
1 2 2 2
Cartesian
0.000 0.000 0.000 Tb
0.000 0.000 3.271 Nd
0.000 0.000 23.414 Nd
0.000 0.000 10.471 Ag
0.000 0.000 16.214 Ag
0.000 0.000 7.070 Hg
0.000 0.000 19.615 Hg
```

Results
- calculated density (g cm⁻³) = 9.6
- energy relative to the elements (meV per atom) = -248

(18)
Material: TbNdAgHg
Method: DFT, PBE
State: optimized geometry

Cell and atoms, written as POSCAR:
```
TbNdAgHg
1.0
0.000 3.746 3.746
3.746 0.000 3.746
3.746 3.746 0.000
Tb Nd Ag Hg
1 1 1 1
Cartesian
0.000 0.000 0.000 Tb
3.746 3.746 3.746 Nd
1.873 1.873 1.873 Ag
5.619 5.619 5.619 Hg
```

Results
- calculated density (g cm⁻³) = 9.7
- energy above the most stable polymorph in this dataset (eV/f.u.) = 0.01
- energy relative to the elements (meV per atom) = -379

(19)
Material: Nd2ThAg2Hg2
Method: DFT, PBE
State: optimized geometry

Cell and atoms, written as POSCAR:
```
Nd2ThAg2Hg2
1.0
2.465 1.423 8.955
-2.465 1.423 8.955
0.000 -2.846 8.955
Nd Th Ag Hg
2 1 2 2
Cartesian
0.000 0.000 3.305 Nd
0.000 0.000 23.560 Nd
0.000 0.000 0.000 Th
0.000 0.000 10.619 Ag
0.000 0.000 16.247 Ag
0.000 0.000 7.051 Hg
0.000 0.000 19.814 Hg
```

Results
- calculated density (g cm⁻³) = 10.0
- energy relative to the elements (meV per atom) = -199

(20)
Material: NdTlAgHg
Method: DFT, PBE
State: optimized geometry

Cell and atoms, written as POSCAR:
```
NdTlAgHg
1.0
0.000 3.677 3.677
3.677 0.000 3.677
3.677 3.677 0.000
Nd Tl Ag Hg
1 1 1 1
Cartesian
0.000 0.000 0.000 Nd
3.677 3.677 3.677 Tl
1.839 1.839 1.839 Ag
5.516 5.516 5.516 Hg
```

Results
- calculated density (g cm⁻³) = 11.0
- energy above the most stable polymorph in this dataset (eV/f.u.) = 0.00
- energy relative to the elements (meV per atom) = -284

(21)
Material: Nd4Tl2AgHg
Method: DFT, PBE
State: optimized geometry

Cell and atoms, written as POSCAR:
```
Nd4Tl2AgHg
1.0
2.728 1.575 8.923
-2.728 1.575 8.923
0.000 -3.150 8.923
Nd Tl Ag Hg
4 2 1 1
Cartesian
0.000 0.000 3.313 Nd
0.000 0.000 10.007 Nd
0.000 0.000 16.762 Nd
0.000 0.000 23.456 Nd
0.000 0.000 6.685 Tl
0.000 0.000 20.084 Tl
0.000 0.000 0.000 Ag
0.000 0.000 13.384 Hg
```

Results
- calculated density (g cm⁻³) = 9.3
- energy relative to the elements (meV per atom) = -375

(22)
Material: NdTlAgHg
Method: DFT, PBE
State: optimized geometry

Cell and atoms, written as POSCAR:
```
NdTlAgHg
1.0
0.000 3.661 3.661
3.661 0.000 3.661
3.661 3.661 0.000
Nd Tl Ag Hg
1 1 1 1
Cartesian
0.000 0.000 0.000 Nd
1.831 1.831 1.831 Tl
3.661 3.661 3.661 Ag
5.492 5.492 5.492 Hg
```

Results
- calculated density (g cm⁻³) = 11.1
- energy above the most stable polymorph in this dataset (eV/f.u.) = 0.05
- energy relative to the elements (meV per atom) = -271

(23)
Material: NiAg3Hg
Method: DFT, PBE
State: optimized geometry

Cell and atoms, written as POSCAR:
```
NiAg3Hg
1.0
5.185 0.000 0.000
0.000 5.185 0.000
0.000 0.000 5.185
Ni Ag Hg
1 3 1
Cartesian
0.000 0.000 0.000 Ni
0.000 2.593 2.593 Ag
2.593 0.000 2.593 Ag
2.593 2.593 0.000 Ag
2.593 2.593 2.593 Hg
```

Results
- calculated density (g cm⁻³) = 6.9
- energy above the most stable polymorph in this dataset (eV/f.u.) = 2.60
- energy relative to the elements (meV per atom) = 1189

(24)
Material: Ni2Ag2Hg
Method: DFT, PBE
State: optimized geometry

Cell and atoms, written as POSCAR:
```
Ni2Ag2Hg
1.0
-1.650 1.650 7.990
1.650 -1.650 7.990
1.650 1.650 -7.990
Ni Ag Hg
2 2 1
Cartesian
1.650 0.000 3.995 Ni
0.000 1.650 3.995 Ni
0.000 0.000 1.859 Ag
0.000 0.000 14.121 Ag
0.000 0.000 7.990 Hg
```

Results
- calculated density (g cm⁻³) = 10.2
- energy above the most stable polymorph in this dataset (eV/f.u.) = 0.47
- energy relative to the elements (meV per atom) = 367

(25)
Material: NiAgHg2
Method: DFT, PBE
State: optimized geometry

Cell and atoms, written as POSCAR:
```
NiAgHg2
1.0
4.384 0.000 0.000
0.000 4.384 0.000
0.000 0.000 3.760
Ni Ag Hg
1 1 2
Cartesian
0.000 0.000 0.000 Ni
2.192 2.192 0.000 Ag
0.000 2.192 1.880 Hg
2.192 0.000 1.880 Hg
```

Results
- calculated density (g cm⁻³) = 13.0
- energy above the most stable polymorph in this dataset (eV/f.u.) = 0.29
- energy relative to the elements (meV per atom) = 229

(26)
Material: NiAg2Hg
Method: DFT, PBE
State: optimized geometry

Cell and atoms, written as POSCAR:
```
NiAg2Hg
1.0
0.000 3.244 3.244
3.244 0.000 3.244
3.244 3.244 0.000
Ni Ag Hg
1 2 1
Cartesian
0.000 0.000 0.000 Ni
1.622 1.622 1.622 Ag
3.244 3.244 3.244 Ag
4.867 4.867 4.867 Hg
```

Results
- calculated density (g cm⁻³) = 11.5
- energy relative to the elements (meV per atom) = 208

(27)
Material: NiAgHg2
Method: DFT, PBE
State: optimized geometry

Cell and atoms, written as POSCAR:
```
NiAgHg2
1.0
-1.477 2.211 6.092
1.477 -2.211 6.092
1.477 2.211 -6.092
Ni Ag Hg
1 1 2
Cartesian
0.000 0.000 0.000 Ni
0.000 2.211 3.793 Ag
1.477 0.000 2.306 Hg
0.000 0.000 5.883 Hg
```

Results
- calculated density (g cm⁻³) = 11.8
- energy above the most stable polymorph in this dataset (eV/f.u.) = 0.00
- energy relative to the elements (meV per atom) = 156